# 1
## CdIn12Hg7 (GGA-PBE)

Data for CdIn12Hg7 after structural relaxation.

Values from the calculation:
As for the total energy: -1.77 eV/atom. Its formation energy is 0.03 eV per atom. As for the space group: R-3m (166). The calculation puts the excess energy over the best structure of this formula in the dataset at 0.000 eV per atom.

The structure in extended XYZ format:
```
20
Lattice="8.157 -0.239 -0.926 -1.009 8.098 -0.926 -0.217 -0.239 8.207" Properties=species:S:1:pos:R:3 pbc="T T T"
Cd 0.000 0.000 0.000
In 5.948 -0.239 1.484
In 5.522 1.722 7.281
In 6.315 2.918 2.116
In 4.624 1.058 4.240
In 7.357 5.660 0.558
In 4.277 4.703 0.247
In 2.654 2.918 6.108
In -0.426 1.961 5.797
In 2.307 6.562 2.116
In 0.616 4.703 4.240
In 1.409 5.899 -0.925
In 0.983 7.859 4.872
Hg 3.106 1.059 0.697
Hg 6.171 4.429 5.658
Hg 5.968 6.563 3.322
Hg 3.465 3.810 3.178
Hg 0.963 1.058 3.034
Hg 0.760 3.192 0.697
Hg 3.825 6.562 5.659
```


# 2
## Cd2In2Hg (GGA-PBE)

Data for Cd2In2Hg after structural relaxation.

Values from the calculation:
As for the total energy: -1.44 eV/atom. Its formation energy is 0.08 eV per atom. As for the space group: I4/mmm (139). The calculation puts the excess energy over the best structure of this formula in the dataset at 0.029 eV per atom.

The structure in extended XYZ format:
```
5
Lattice="4.227 0.000 0.000 0.000 4.227 0.000 2.113 2.113 7.693" Properties=species:S:1:pos:R:3 pbc="T T T"
Cd 4.227 2.113 3.847
Cd 2.113 4.227 3.847
Hg 0.000 0.000 0.000
In 2.113 2.113 1.523
In 4.227 4.227 6.171
```


# 3
## Cd10In3Hg3 (GGA-PBE)

Data for Cd10In3Hg3 after structural relaxation.

Values from the calculation:
As for the total energy: -1.08 eV/atom. Its formation energy is 0.06 eV per atom. As for the space group: P-62m (189).

The structure in extended XYZ format:
```
16
Lattice="-4.481 1.265 -3.675 -4.603 -6.763 3.285 -0.720 8.000 3.632" Properties=species:S:1:pos:R:3 pbc="T T T"
Cd -4.439 -1.523 2.474
Cd -3.145 3.398 2.589
Cd -5.365 4.025 0.769
Cd -6.660 -0.896 0.653
Cd -2.809 6.950 1.031
Cd -5.876 -4.708 0.757
Cd -3.360 0.893 -0.383
Cd -0.151 1.682 0.764
Cd -0.968 -1.422 0.691
Cd -4.204 0.977 5.463
In -0.430 4.780 2.170
In -2.750 -4.041 1.963
In -2.143 0.498 2.784
Hg -2.530 3.846 -0.379
Hg -4.090 -2.084 -0.518
Hg -5.426 1.373 2.301
```


# 4
## CdInHg (GGA-PBE)

Data for CdInHg after structural relaxation.

Values from the calculation:
As for the total energy: -1.27 eV/atom. Its formation energy is 0.05 eV per atom. As for the space group: Fmm2 (42).

The structure in extended XYZ format:
```
3
Lattice="8.358 0.114 -0.082 7.463 3.224 -0.078 0.895 -0.961 2.958" Properties=species:S:1:pos:R:3 pbc="T T T"
Cd 15.754 3.318 -0.147
Hg 5.929 0.489 1.906
In 10.853 1.907 0.877
```


# 5
## Cd2InHg9 (GGA-PBE)

Data for Cd2InHg9 after structural relaxation.

Values from the calculation:
As for the total energy: -0.59 eV/atom. Its formation energy is 0.02 eV per atom. As for the space group: P4/mmm (123). The calculation puts the excess energy over the best structure of this formula in the dataset at 0.000 eV per atom.

The structure in extended XYZ format:
```
12
Lattice="-2.018 -4.365 1.322 4.435 -1.541 1.683 -2.705 4.719 11.449" Properties=species:S:1:pos:R:3 pbc="T T T"
Cd -0.911 1.588 3.854
Cd -1.794 3.130 7.595
In 0.000 0.000 0.000
Hg 1.208 -2.953 1.502
Hg 0.309 -1.383 5.311
Hg -0.597 0.196 9.144
Hg -1.466 -1.385 2.595
Hg -2.361 0.177 6.386
Hg -3.257 1.739 10.176
Hg 1.761 0.027 2.775
Hg 0.865 1.589 6.566
Hg -0.031 3.151 10.357
```


# 6
## CdIn8Hg6 (GGA-PBE)

Data for CdIn8Hg6 after structural relaxation.

Values from the calculation:
As for the total energy: -1.61 eV/atom. Its formation energy is 0.03 eV per atom. As for the space group: R-3 (148).

The structure in extended XYZ format:
```
15
Lattice="8.466 0.000 0.000 4.233 7.331 0.000 4.233 2.444 6.836" Properties=species:S:1:pos:R:3 pbc="T T T"
Cd 0.000 0.000 0.000
In 7.064 2.467 2.414
In 9.861 2.463 4.422
In 5.669 4.892 4.422
In 12.698 7.331 6.822
In 4.233 2.444 0.014
In 11.262 4.884 2.414
In 7.070 7.312 2.414
In 9.867 7.308 4.422
Hg 7.023 2.427 5.532
Hg 9.875 2.408 1.304
Hg 5.614 4.907 1.304
Hg 11.318 4.868 5.532
Hg 7.057 7.367 5.532
Hg 9.909 7.348 1.304
```


# 7
## Cd8InHg6 (GGA-PBE)

Data for Cd8InHg6 after structural relaxation.

Values from the calculation:
As for the total energy: -0.74 eV/atom. Its formation energy is 0.05 eV per atom. As for the space group: R-3 (148). The calculation puts the excess energy over the best structure of this formula in the dataset at 0.003 eV per atom.

The structure in extended XYZ format:
```
15
Lattice="7.994 0.000 0.000 3.997 6.923 0.000 3.997 2.308 7.181" Properties=species:S:1:pos:R:3 pbc="T T T"
Cd 6.342 2.277 2.697
Cd 9.194 2.015 4.484
Cd 5.143 4.877 4.484
Cd 11.992 6.923 6.648
Cd 3.997 2.308 0.532
Cd 10.846 4.354 2.697
Cd 6.795 7.216 2.697
Cd 9.646 6.954 4.484
In 0.000 0.000 0.000
Hg 6.654 2.700 5.795
Hg 8.983 2.497 1.385
Hg 5.665 4.819 1.385
Hg 10.324 4.412 5.795
Hg 7.006 6.734 5.795
Hg 9.335 6.531 1.385
```


# 8
## CdIn6Hg12 (GGA-PBE)

Data for CdIn6Hg12 after structural relaxation.

Values from the calculation:
As for the total energy: -1.07 eV/atom. Its formation energy is 0.03 eV per atom. As for the space group: R-3 (148). The calculation puts the excess energy over the best structure of this formula in the dataset at 0.000 eV per atom.

The structure in extended XYZ format:
```
19
Lattice="0.151 8.015 -3.170 -2.380 -5.255 -6.405 -6.190 -0.281 5.993" Properties=species:S:1:pos:R:3 pbc="T T T"
Cd 0.000 0.000 0.000
In -4.796 -0.828 0.307
In -5.787 2.330 0.520
In -5.384 -1.281 -2.926
In -3.623 3.307 -3.889
In -2.632 0.149 -4.103
In -3.035 3.760 -0.656
Hg -2.898 1.466 1.462
Hg -2.565 -1.863 -1.622
Hg -0.943 2.283 -2.566
Hg -5.522 1.013 -5.044
Hg -5.854 4.342 -1.960
Hg -7.476 0.196 -1.017
Hg -6.517 -3.932 -2.062
Hg -2.545 -2.207 -5.973
Hg -6.052 -1.113 3.027
Hg -1.902 6.411 -1.520
Hg -5.875 4.686 2.391
Hg -2.367 3.592 -6.609
```


# 9
## Cd3InHg4 (GGA-PBE)

Data for Cd3InHg4 after structural relaxation.

Values from the calculation:
As for the total energy: -0.81 eV/atom. Its formation energy is 0.02 eV per atom. As for the space group: Pmm2 (25).

The structure in extended XYZ format:
```
8
Lattice="3.929 0.000 0.000 0.000 4.807 0.000 0.000 0.000 10.943" Properties=species:S:1:pos:R:3 pbc="T T T"
Cd 0.000 2.404 6.561
Cd 0.000 0.000 4.351
Cd 1.964 0.000 9.816
In 1.964 2.404 1.134
Hg 1.964 2.404 4.110
Hg 0.000 2.404 9.488
Hg 0.000 0.000 1.415
Hg 1.964 0.000 6.896
```


# 10
## CdIn3Hg9 (GGA-PBE)

Data for CdIn3Hg9 after structural relaxation.

Values from the calculation:
As for the total energy: -0.89 eV/atom. Its formation energy is 0.02 eV per atom. As for the space group: Cc (9).

The structure in extended XYZ format:
```
26
Lattice="8.256 0.000 3.474 4.699 7.418 0.381 -0.363 -5.004 12.410" Properties=species:S:1:pos:R:3 pbc="T T T"
Cd 10.210 5.201 3.869
Cd 4.077 -1.010 8.368
In 9.423 0.098 10.363
In 5.046 6.309 1.441
In 5.470 -2.243 13.447
In 5.605 3.968 6.424
In 9.282 3.610 10.799
In 8.390 2.403 4.940
Hg 3.453 -1.419 5.456
Hg 4.109 -0.212 11.216
Hg 2.359 -2.820 12.297
Hg 8.602 3.391 7.845
Hg 1.426 -2.481 9.171
Hg 3.233 3.730 2.852
Hg 4.207 0.438 2.248
Hg 5.876 1.645 8.434
Hg 7.082 -1.175 7.738
Hg 8.197 0.032 13.691
Hg 6.841 1.636 11.383
Hg 1.423 0.429 3.620
Hg 5.885 0.588 5.063
Hg 10.946 1.795 12.676
Hg 6.910 -1.770 10.790
Hg 6.498 4.440 3.537
Hg 7.690 -3.998 14.520
Hg 3.285 2.213 5.587
```


# 11
## Cd2In3Hg8 (GGA-PBE)

Data for Cd2In3Hg8 after structural relaxation.

Values from the calculation:
As for the total energy: -0.93 eV/atom. Its formation energy is 0.03 eV per atom. As for the space group: P2/m (10). The calculation puts the excess energy over the best structure of this formula in the dataset at 0.000 eV per atom.

The structure in extended XYZ format:
```
13
Lattice="3.508 0.000 0.000 0.000 10.134 -5.795 0.000 -0.825 10.335" Properties=species:S:1:pos:R:3 pbc="T T T"
Cd 1.754 2.667 3.936
Cd 1.754 6.642 0.604
In 1.754 0.000 0.000
In 0.000 1.692 8.892
In 0.000 7.617 -4.352
Hg 0.000 5.699 -1.599
Hg 3.508 3.610 6.139
Hg 3.508 0.798 2.418
Hg 0.000 8.511 2.122
Hg 1.754 5.716 3.504
Hg 1.754 0.615 6.302
Hg 1.754 8.694 -1.762
Hg 1.754 3.593 1.036
```


# 12
## CdIn3Hg5 (GGA-PBE)

Data for CdIn3Hg5 after structural relaxation.

Values from the calculation:
As for the total energy: -1.17 eV/atom. Its formation energy is 0.02 eV per atom. As for the space group: P6_3/mcm (193). The calculation puts the excess energy over the best structure of this formula in the dataset at 0.000 eV per atom.

The structure in extended XYZ format:
```
18
Lattice="6.554 0.000 0.000 0.000 7.923 -4.574 0.000 0.000 9.148" Properties=species:S:1:pos:R:3 pbc="T T T"
Cd 0.000 0.000 0.000
Cd 3.277 0.000 0.000
In 4.915 2.979 -1.720
In 4.915 4.944 2.854
In 4.915 0.000 3.440
In 1.638 4.944 -2.854
In 1.638 2.979 1.720
In 1.638 0.000 5.708
Hg 0.000 2.641 4.574
Hg 3.277 5.282 0.000
Hg 0.000 5.282 0.000
Hg 3.277 2.641 4.574
Hg 4.915 5.643 -3.258
Hg 4.915 2.279 1.316
Hg 4.915 0.000 6.516
Hg 1.638 2.279 -1.316
Hg 1.638 5.643 3.258
Hg 1.638 0.000 2.632
```


# 13
## CdInHg (GGA-PBE)

Data for CdInHg after structural relaxation.

Values from the calculation:
As for the total energy: -1.30 eV/atom. Its formation energy is 0.02 eV per atom. As for the space group: P-1 (2).

The structure in extended XYZ format:
```
6
Lattice="3.503 0.017 -0.032 -0.030 5.092 -0.429 0.082 -0.718 8.597" Properties=species:S:1:pos:R:3 pbc="T T T"
Cd 1.317 1.278 2.063
Cd 3.052 3.886 1.838
In 3.105 0.617 4.996
In 1.345 3.829 7.502
Hg 3.115 1.313 7.966
Hg 1.335 3.133 4.532
```


# 14
## CdIn2Hg (GGA-PBE)

Data for CdIn2Hg after structural relaxation.

Values from the calculation:
As for the total energy: -1.64 eV/atom. Its formation energy is 0.03 eV per atom. As for the space group: P4/mmm (123). The calculation puts the excess energy over the best structure of this formula in the dataset at 0.026 eV per atom.

The structure in extended XYZ format:
```
4
Lattice="-1.156 -2.778 -1.892 3.206 -0.311 -1.503 2.331 -5.073 6.024" Properties=species:S:1:pos:R:3 pbc="T T T"
Cd 1.607 -2.813 -0.191
Hg 2.773 -5.349 2.821
In 0.002 -0.005 0.006
In 1.163 -2.532 3.006
```


# 15
## Cd6In4Hg19 (GGA-PBE)

Data for Cd6In4Hg19 after structural relaxation.

Values from the calculation:
As for the total energy: -0.69 eV/atom. Its formation energy is 0.08 eV per atom. As for the space group: I23 (197).

The structure in extended XYZ format:
```
29
Lattice="-7.713 7.069 -2.147 -3.349 -9.812 -2.566 2.352 0.349 10.412" Properties=species:S:1:pos:R:3 pbc="T T T"
Cd -2.516 -1.938 7.035
Cd -6.193 -0.455 -1.335
Cd -1.865 -5.070 3.341
Cd -6.845 2.677 2.359
Cd -5.906 -4.934 0.597
Cd -2.804 2.540 5.102
In 1.695 0.252 7.505
In -2.414 -7.072 -1.849
In -2.432 -0.668 1.592
In -5.559 5.095 -1.547
Hg -3.821 5.287 5.891
Hg -1.540 2.131 2.375
Hg -3.178 -0.788 -1.354
Hg -7.884 -1.955 -3.359
Hg -0.710 -6.744 5.592
Hg -0.286 -2.718 2.254
Hg 0.000 0.000 0.000
Hg -2.386 -0.473 4.560
Hg -3.534 2.586 8.104
Hg -7.225 -2.144 0.755
Hg -9.107 0.569 -1.260
Hg -4.274 -4.756 -2.021
Hg -4.960 0.847 1.181
Hg 0.479 -2.192 6.320
Hg -3.831 -4.011 5.158
Hg -4.702 4.613 1.261
Hg -3.571 -7.611 3.765
Hg -3.627 -3.389 1.439
Hg -5.519 1.600 4.934
```


# 16
## Cd14InHg (GGA-PBE)

Data for Cd14InHg after structural relaxation.

Values from the calculation:
As for the total energy: -0.97 eV/atom. Its formation energy is 0.02 eV per atom. As for the space group: Amm2 (38).

The structure in extended XYZ format:
```
16
Lattice="-3.290 -1.533 -5.083 0.657 -4.657 4.110 -8.754 2.974 4.770" Properties=species:S:1:pos:R:3 pbc="T T T"
Cd -0.201 -3.978 2.111
Cd -2.188 -2.406 -2.514
Cd -4.140 -0.704 4.185
Cd -0.542 -1.662 0.042
Cd -5.498 -3.896 3.684
Cd -1.844 -4.724 -0.439
Cd -7.774 1.055 2.186
Cd -3.325 -0.457 -0.238
Cd -9.061 -1.969 1.711
Cd -4.611 -3.481 -0.713
Cd -7.374 -1.265 4.265
Cd -3.003 -2.750 1.883
Cd -9.404 0.328 -0.375
Cd -4.972 -1.178 -2.790
In -3.859 -3.060 6.171
Hg -5.793 -1.529 1.667
```


# 17
## CdIn3Hg7 (GGA-PBE)

Data for CdIn3Hg7 after structural relaxation.

Values from the calculation:
As for the total energy: -0.99 eV/atom. Its formation energy is 0.04 eV per atom. As for the space group: Cm (8).

The structure in extended XYZ format:
```
11
Lattice="0.512 2.218 -6.472 6.690 0.165 -1.510 -5.820 -8.213 3.849" Properties=species:S:1:pos:R:3 pbc="T T T"
Cd 0.552 -5.397 -2.920
In 2.586 -4.046 -0.846
In -2.769 -7.173 0.479
In -1.118 -2.815 -3.821
Hg 1.014 0.247 -1.160
Hg 0.123 -5.488 0.202
Hg 4.868 -1.352 -2.575
Hg -2.280 -4.690 -1.727
Hg 1.713 -2.107 -3.005
Hg 1.165 -0.122 -5.548
Hg 4.793 0.316 -5.838
```


# 18
## CdIn2Hg (GGA-PBE)

Data for CdIn2Hg after structural relaxation.

Values from the calculation:
As for the total energy: -1.65 eV/atom. Its formation energy is 0.03 eV per atom. As for the space group: I4/mmm (139). The calculation puts the excess energy over the best structure of this formula in the dataset at 0.021 eV per atom.

The structure in extended XYZ format:
```
4
Lattice="5.726 -0.040 0.000 1.937 5.389 0.000 -3.832 -2.674 3.310" Properties=species:S:1:pos:R:3 pbc="T T T"
Cd 0.969 2.694 1.655
Hg 2.863 -0.020 1.655
In 0.000 0.000 0.000
In 3.832 2.674 0.000
```


# 19
## Cd2In15Hg2 (GGA-PBE)

Data for Cd2In15Hg2 after structural relaxation.

Values from the calculation:
As for the total energy: -2.20 eV/atom. Its formation energy is 0.09 eV per atom. As for the space group: R-3m (166).

The structure in extended XYZ format:
```
19
Lattice="-4.637 1.937 6.698 -1.045 -7.311 3.947 5.515 0.269 6.296" Properties=species:S:1:pos:R:3 pbc="T T T"
Cd -0.142 -4.320 14.336
Cd -0.026 -0.785 2.605
In -0.522 -3.656 1.974
In 2.757 0.135 3.148
In -2.319 0.969 3.349
In 2.622 0.745 6.411
In -3.613 -0.698 5.914
In 0.825 -5.151 4.617
In -2.069 -4.675 4.731
In 3.645 -1.891 5.627
In -1.744 1.462 6.584
In -0.510 -5.176 8.599
In 2.261 -1.975 9.591
In -2.027 -1.270 9.761
In 0.342 0.072 8.343
In -2.428 -3.130 7.351
In 1.860 -3.834 7.181
Hg -0.112 -3.416 11.337
Hg -0.055 -1.689 5.604
```


For reference, total magnetic moment by record: 0.00, 0.00, 0.00, 0.00, 0.00, 0.00, 0.00, 0.00, 0.00, 0.00, 0.00, 0.00, 0.00, 0.00, 0.00, 0.00, 0.00, 0.00, 0.00 Bohr magnetons per cell.